(1)
First-principles (PBE) data for a relaxed structure of Ca2PbO3, as listed in Alexandria via LeMat-Bulk.

```
Ca2PbO3
1.0
2.999 1.731 6.099
-2.999 1.731 6.099
0.000 -3.463 6.099
Ca Pb O
4 2 6
Direct
0.167 0.167 0.167
0.333 0.333 0.333
0.667 0.667 0.667
0.833 0.833 0.833
0.000 0.000 0.000
0.500 0.500 0.500
0.061 0.750 0.439
0.250 0.561 0.939
0.439 0.061 0.750
0.561 0.939 0.250
0.750 0.439 0.061
0.939 0.250 0.561
```

## Properties
Energy relative to the lowest polymorph listed for this composition ... 151 meV/atom
Formation energy from raw total energies ... -2122 meV per atom
DOS at the Fermi energy ... 0.00 states/eV per atom


(2)
First-principles (PBE) data for a relaxed structure of Ca2PbO3, as listed in Alexandria via LeMat-Bulk.

```
Ca2PbO3
1.0
5.609 -2.501 0.000
5.609 2.501 0.000
-2.192 0.000 6.662
Ca Pb O
4 2 6
Direct
0.167 0.168 0.584
0.168 0.167 0.084
0.832 0.833 0.916
0.833 0.832 0.416
0.500 0.500 0.250
0.500 0.500 0.750
0.004 0.996 0.750
0.315 0.316 0.908
0.316 0.315 0.408
0.684 0.685 0.592
0.685 0.684 0.092
0.996 0.004 0.250
```

## Properties
Energy relative to the lowest polymorph listed for this composition ... 0 meV/atom
Formation energy from raw total energies ... -2273 meV per atom
DOS at the Fermi energy ... 0.00 states/eV per atom


(3)
First-principles (PBE) data for a relaxed structure of Ca3PbO, as listed in Alexandria via LeMat-Bulk.

```
Ca3PbO
1.0
4.878 0.000 0.000
0.000 4.878 0.000
0.000 0.000 4.878
Ca Pb O
3 1 1
Direct
0.000 0.000 0.500
0.000 0.500 0.000
0.500 0.000 0.000
0.500 0.500 0.500
0.000 0.000 0.000
```

## Properties
Energy relative to the lowest polymorph listed for this composition ... 0 meV/atom
Formation energy from raw total energies ... -1556 meV per atom
DOS at the Fermi energy ... 0.00 states/eV per atom


(4)
First-principles (PBE) data for a relaxed structure of CaPb3O, as listed in Alexandria via LeMat-Bulk.

```
CaPb3O
1.0
5.102 0.000 0.000
0.000 5.102 0.000
0.000 0.000 5.102
Ca Pb O
1 3 1
Direct
0.000 0.000 0.000
0.000 0.500 0.500
0.500 0.000 0.500
0.500 0.500 0.000
0.500 0.500 0.500
```

## Properties
Energy relative to the lowest polymorph listed for this composition ... 0 meV/atom
Formation energy from raw total energies ... -442 meV per atom
DOS at the Fermi energy ... 0.31 states/eV per atom


(5)
First-principles (PBE) data for a relaxed structure of Ca3PbO, as listed in Alexandria via LeMat-Bulk.

```
Ca3PbO
1.0
5.874 0.000 0.000
0.000 5.874 0.000
0.000 0.000 5.874
Ca Pb O
3 1 1
Direct
0.000 0.000 0.500
0.000 0.500 0.000
0.500 0.000 0.000
0.000 0.000 0.000
0.500 0.500 0.500
```

## Properties
Energy relative to the lowest polymorph listed for this composition ... 1605 meV/atom
Formation energy from raw total energies ... 50 meV per atom
DOS at the Fermi energy ... 0.02 states/eV per atom


(6)
First-principles (PBE) data for a relaxed structure of Ca5PbO6, as listed in Alexandria via LeMat-Bulk.

```
Ca5PbO6
1.0
3.014 -5.220 0.000
3.014 5.220 0.000
-2.015 0.000 5.671
Ca Pb O
5 1 6
Direct
0.000 0.000 0.000
0.167 0.833 0.500
0.334 0.666 0.000
0.666 0.334 0.000
0.833 0.167 0.500
0.500 0.500 0.500
0.063 0.414 0.243
0.237 0.237 0.761
0.414 0.063 0.243
0.586 0.937 0.757
0.763 0.763 0.239
0.937 0.586 0.757
```

## Properties
Formation energy from raw total energies ... -2614 meV per atom
DOS at the Fermi energy ... 0.00 states/eV per atom


Which formula does entry 1 have? Ca2PbO3


Among the records above, which one has the highest formation energy from raw total energies? number 5


Which value of formation energy from raw total energies does entry 2 give? -2273 meV per atom